(w)
An optimized crystal structure of SmY2Te. Source: the Alexandria database, functional PBE-GGA.

The space group is Cmcm (No. 63) and the conventional cell measures 4.0030, 12.2593 and 9.8485 Å, with angles of 90.00, 90.00 and 90.00 degrees. The distinct sites, in fractional coordinates, are Sm at (0.0000, 0.0564, 0.2500), Y at (0.0000, 0.3640, 0.0371) and Te at (0.0000, 0.2341, 0.7500).

---

(x)
An optimized crystal structure of SmY2Te. Source: the Alexandria database, functional PBE-GGA.

The space group is R-3m (No. 166, hexagonal axes) and the conventional cell measures 3.8597, 3.8597 and 32.0893 Å, with angles of 90.00, 90.00 and 120.00 degrees. The distinct sites, in fractional coordinates, are Sm at (0.0000, 0.0000, 0.0000), Y at (0.0000, 0.0000, 0.1028) and Te at (0.0000, 0.0000, 0.5000).

---

Name the least stable of them. (x).

---

(w)
An optimized crystal structure of Sm3YTe3. Source: the Alexandria database, functional PBE-GGA.

The space group is R-3 (No. 148, hexagonal axes) and the conventional cell measures 9.1006, 9.1006 and 18.1612 Å, with angles of 90.00, 90.00 and 120.00 degrees. The distinct sites, in fractional coordinates, are Sm at (0.0058, 0.2522, 0.4144), Y at (0.0000, 0.0000, 0.1846) and Te at (0.0157, 0.4004, 0.5805).

---

(x)
An optimized crystal structure of Sm3YTe3. Source: the Alexandria database, functional PBE-GGA.

The space group is Pnma (No. 62) and the conventional cell measures 14.8568, 4.3887 and 13.0520 Å, with angles of 90.00, 90.00 and 90.00 degrees. The distinct sites, in fractional coordinates, are Sm at (0.0616, 0.2500, 0.1226), Sm at (0.2014, 0.7500, 0.7663), Sm at (0.2102, 0.7500, 0.4715), Y at (0.0540, 0.2500, 0.6087), Te at (0.0887, 0.2500, 0.8775), Te at (0.0969, 0.2500, 0.3608) and Te at (0.2197, 0.7500, 0.1210).

---

Name the least stable of them. (w).

---

(w)
An optimized crystal structure of Sm3ZnTe2. Source: the Alexandria database, functional PBE-GGA.

The space group is C2/m (No. 12) and the conventional cell measures 7.5050, 13.0411 and 7.7264 Å, with angles of 90.00, 109.06 and 90.00 degrees. The distinct sites, in fractional coordinates, are Sm at (0.2371, 0.0000, 0.2365), Sm at (0.2491, 0.1704, 0.7598), Zn at (0.0000, 0.1679, 0.0000), Te at (0.0000, 0.0000, 0.5000), Te at (0.0000, 0.3390, 0.5000) and Te at (0.0000, 0.5000, 0.0000).

---

(x)
An optimized crystal structure of Sm3ZnTe2. Source: the Alexandria database, functional PBE-GGA.

The space group is Cmmm (No. 65) and the conventional cell measures 6.1588, 14.8397 and 4.3721 Å, with angles of 90.00, 90.00 and 90.00 degrees. The distinct sites, in fractional coordinates, are Sm at (0.0000, 0.0000, 0.0000), Sm at (0.0000, 0.3643, 0.5000), Zn at (0.0000, 0.5000, 0.0000) and Te at (0.0000, 0.1538, 0.5000).

---

Name the least stable of them. (x).

---

(w)
An optimized crystal structure of SmZrTe2. Source: the Alexandria database, functional PBE-GGA.

The space group is R-3m (No. 166, hexagonal axes) and the conventional cell measures 3.9281, 3.9281 and 29.6627 Å, with angles of 90.00, 90.00 and 120.00 degrees. The distinct sites, in fractional coordinates, are Sm at (0.0000, 0.0000, 0.0000), Zr at (0.0000, 0.0000, 0.5000) and Te at (0.0000, 0.0000, 0.1046).

---

(x)
An optimized crystal structure of SmZrTe2. Source: the Alexandria database, functional PBE-GGA.

The space group is P4/mmm (No. 123) and the conventional cell measures 3.6753, 3.6753 and 7.4869 Å, with angles of 90.00, 90.00 and 90.00 degrees. The distinct sites, in fractional coordinates, are Sm at (0.0000, 0.0000, 0.0000), Zr at (0.0000, 0.0000, 0.5000) and Te at (0.5000, 0.5000, 0.2692).

---

Name the least stable of them. (w).

---

(w)
An optimized crystal structure of Sm5Th. Source: the Alexandria database, functional PBE-GGA.

The space group is P-3m1 (No. 164) and the conventional cell measures 3.6213, 3.6213 and 17.7353 Å, with angles of 90.00, 90.00 and 120.00 degrees. The distinct sites, in fractional coordinates, are Sm at (0.0000, 0.0000, 0.0000), Sm at (0.3333, 0.6667, 0.1664), Sm at (0.3333, 0.6667, 0.6618) and Th at (0.0000, 0.0000, 0.5000).

---

(x)
An optimized crystal structure of Sm5Th. Source: the Alexandria database, functional PBE-GGA.

The space group is Cmmm (No. 65) and the conventional cell measures 5.1229, 15.3629 and 5.1170 Å, with angles of 90.00, 90.00 and 90.00 degrees. The distinct sites, in fractional coordinates, are Sm at (0.0000, 0.0000, 0.0000), Sm at (0.0000, 0.1645, 0.5000), Sm at (0.0000, 0.3373, 0.0000) and Th at (0.0000, 0.5000, 0.5000).

---

Name the least stable of them. (x).

---

(w)
An optimized crystal structure of SmTh. Source: the Alexandria database, functional PBE-GGA.

The space group is Pm-3m (No. 221) and the conventional cell measures 4.0417, 4.0417 and 4.0417 Å, with angles of 90.00, 90.00 and 90.00 degrees. The distinct sites, in fractional coordinates, are Sm at (0.0000, 0.0000, 0.0000) and Th at (0.5000, 0.5000, 0.5000).

---

(x)
An optimized crystal structure of SmTh. Source: the Alexandria database, functional PBE-GGA.

The space group is Pmmn (No. 59, origin choice 2) and the conventional cell measures 3.5784, 5.9196 and 6.2744 Å, with angles of 90.00, 90.00 and 90.00 degrees. The distinct sites, in fractional coordinates, are Sm at (0.2500, 0.2500, 0.0954) and Th at (0.2500, 0.7500, 0.4201).

---

(y)
An optimized crystal structure of SmTh. Source: the Alexandria database, functional PBE-GGA.

The space group is C2/m (No. 12) and the conventional cell measures 6.2566, 3.6092 and 11.8716 Å, with angles of 90.00, 100.13 and 90.00 degrees. The distinct sites, in fractional coordinates, are Sm at (0.1223, 0.0000, 0.3685) and Th at (0.2075, 0.5000, 0.1213).

---

Name the least stable of them. (w).